[1]
A plane-wave DFT calculation with GGA-PBE was carried out for crystalline MgReAu2 at its relaxed geometry.

Summary:
Energy relative to the elements ... 0.126 eV per atom
VASP energy ... -0.3692 Ry per atom

The structure in POSCAR format:
```
MgReAu2
1.0
5.452 0.133 0.658
4.695 2.775 0.658
1.483 0.425 4.832
Au Mg Re
2 1 1
Direct
0.008 0.008 0.903 Au
0.246 0.246 0.335 Au
0.494 0.494 0.417 Mg
0.751 0.751 0.844 Re
```

=====

[2]
A plane-wave DFT calculation with GGA-PBE was carried out for crystalline PrEu2Ga at its relaxed geometry.

Summary:
Energy relative to the lowest polymorph listed for this composition ... 30 meV/atom
Energy relative to the elements ... -0.160 eV per atom
VASP energy ... -0.5328 Ry per atom

The structure in POSCAR format:
```
PrEu2Ga
1.0
5.171 0.000 0.000
0.000 4.850 0.000
0.000 0.000 4.850
Eu Pr Ga
2 1 1
Direct
0.000 0.000 0.500 Eu
0.000 0.500 0.000 Eu
0.500 0.000 0.000 Pr
0.500 0.500 0.500 Ga
```

=====

[3]
A plane-wave DFT calculation with GGA-PBE was carried out for crystalline Ag8SF6 at its relaxed geometry.

Summary:
VASP energy ... -0.2472 Ry per atom
ΔE_f (raw) ... -0.82 eV/atom

The structure in POSCAR format:
```
Ag8SF6
1.0
-3.511 1.663 -5.005
-1.156 -6.193 -0.670
-4.691 0.891 4.164
Ag S F
8 1 6
Direct
0.348 0.348 0.348 Ag
0.652 0.652 0.652 Ag
0.164 0.344 0.918 Ag
0.918 0.164 0.344 Ag
0.344 0.918 0.164 Ag
0.836 0.656 0.082 Ag
0.082 0.836 0.656 Ag
0.656 0.082 0.836 Ag
0.000 0.000 0.000 S
0.644 0.364 0.147 F
0.147 0.644 0.364 F
0.364 0.147 0.644 F
0.356 0.636 0.853 F
0.853 0.356 0.636 F
0.636 0.853 0.356 F
```